[1]
First-principles (GGA-PBE) data for a relaxed structure of SrAs2IBr, as listed in the Alexandria database.

As for the calculated density: 4.310 g/cm3. The value obtained for the relative energy among the computed polymorphs is 0.0 meV/atom. Its spin magnetization is 0.00 μB per cell. The value obtained for the raw formation energy is 64 kJ/mol of formula units. For the total DFT energy (no corrections), the calculation gives -2.7073 eV per atom. The volume comes out at 171 Å³/f.u.

The structure belongs to space group P4/mmm (No. 123); the cell edges are 5.418, 5.418 and 5.831 Å and the angles 90.00°, 90.00° and 90.00°. The inequivalent atoms are Sr at (0.000, 0.000, 0.000), As at (0.000, 0.500, 0.500), I at (0.500, 0.500, 0.500) and Br at (0.500, 0.500, 0.000).

=====

[2]
First-principles (GGA-PBE) data for a relaxed structure of GeIrSN2, as listed in the Alexandria database.

As for the calculated density: 6.672 g/cm3. The value obtained for the relative energy among the computed polymorphs is 739.9 meV/atom. Its spin magnetization is 0.93 μB per cell. The value obtained for the raw formation energy is 747 kJ/mol of formula units. For the total DFT energy (no corrections), the calculation gives -5.3037 eV per atom. The volume comes out at 81 Å³/f.u.

The structure belongs to space group P4/mmm (No. 123); the cell edges are 3.528, 3.528 and 6.497 Å and the angles 90.00°, 90.00° and 90.00°. The inequivalent atoms are Ge at (0.000, 0.000, 0.000), Ir at (0.500, 0.500, 0.500), S at (0.000, 0.000, 0.500) and N at (0.000, 0.500, 0.000).

=====

[3]
First-principles (GGA-PBE) data for a relaxed structure of Ce2MnReN6, as listed in the Alexandria database.

As for the calculated density: 8.727 g/cm3. Its spin magnetization is 4.46 μB per cell. The value obtained for the raw formation energy is -729 kJ/mol of formula units. For the total DFT energy (no corrections), the calculation gives -9.0991 eV per atom. The volume comes out at 115 Å³/f.u.

The structure belongs to space group P2_1/c (No. 14); the cell edges are 5.426, 5.515 and 9.412 Å and the angles 90.00°, 125.11° and 90.00°. The inequivalent atoms are Ce at (0.248, 0.048, 0.251), Mn at (0.500, 0.000, 0.000), Re at (0.000, 0.000, 0.500), N at (0.161, 0.198, 0.961), N at (0.266, 0.701, 0.962) and N at (0.326, 0.017, 0.752).

=====

[4]
First-principles (GGA-PBE) data for a relaxed structure of SnPtSeN2, as listed in the Alexandria database.

As for the calculated density: 7.809 g/cm3. The value obtained for the relative energy among the computed polymorphs is 0.0 meV/atom. Its spin magnetization is 3.01 μB per cell. The value obtained for the raw formation energy is 521 kJ/mol of formula units. For the total DFT energy (no corrections), the calculation gives -4.9562 eV per atom. The volume comes out at 89 Å³/f.u.

The structure belongs to space group P4/mmm (No. 123); the cell edges are 4.051, 4.051 and 5.452 Å and the angles 90.00°, 90.00° and 90.00°. The inequivalent atoms are Sn at (0.000, 0.000, 0.000), Pt at (0.500, 0.500, 0.500), Se at (0.500, 0.500, 0.000) and N at (0.000, 0.500, 0.500).

=====

[5]
First-principles (GGA-PBE) data for a relaxed structure of Pt3PbF, as listed in the Alexandria database.

As for the calculated density: 10.005 g/cm3. The value obtained for the relative energy among the computed polymorphs is 778.7 meV/atom. Its spin magnetization is 0.00 μB per cell. The value obtained for the raw formation energy is 603 kJ/mol of formula units. For the total DFT energy (no corrections), the calculation gives -3.4899 eV per atom. The volume comes out at 135 Å³/f.u.

The structure belongs to space group Pm-3m (No. 221); the cell edges are 5.126, 5.126 and 5.126 Å and the angles 90.00°, 90.00° and 90.00°. The inequivalent atoms are Pt at (0.000, 0.000, 0.500), Pb at (0.000, 0.000, 0.000) and F at (0.500, 0.500, 0.500).

=====

[6]
First-principles (GGA-PBE) data for a relaxed structure of Al2ReW, as listed in the Alexandria database.

As for the formation energy: -10.2 kJ per mole of atoms. As for the calculated density: 11.833 g/cm3. The value obtained for the relative energy among the computed polymorphs is 151.0 meV/atom. Its spin magnetization is 0.00 μB per cell. For the total DFT energy (no corrections), the calculation gives -8.3274 eV per atom. The volume comes out at 60 Å³/f.u.

The structure belongs to space group I-4m2 (No. 119); the cell edges are 4.378, 4.378 and 6.210 Å and the angles 90.00°, 90.00° and 90.00°. The inequivalent atoms are Al at (0.000, 0.000, 0.000), Al at (0.000, 0.500, 0.250), Re at (0.000, 0.500, 0.750) and W at (0.000, 0.000, 0.500).

=====

[7]
First-principles (GGA-PBE) data for a relaxed structure of MgPaTl2, as listed in the Alexandria database.

As for the formation energy: 13.1 kJ per mole of atoms. As for the calculated density: 11.026 g/cm3. The value obtained for the relative energy among the computed polymorphs is 22.1 meV/atom. Its spin magnetization is 0.96 μB per cell. For the total DFT energy (no corrections), the calculation gives -3.8200 eV per atom. The volume comes out at 100 Å³/f.u.

The structure belongs to space group P4/mmm (No. 123); the cell edges are 3.476, 3.476 and 8.277 Å and the angles 90.00°, 90.00° and 90.00°. The inequivalent atoms are Mg at (0.000, 0.000, 0.000), Pa at (0.000, 0.000, 0.500) and Tl at (0.500, 0.500, 0.228).

=====

[8]
First-principles (GGA-PBE) data for a relaxed structure of Hf6TcPd, as listed in the Alexandria database.

As for the formation energy: -17.1 kJ per mole of atoms. As for the calculated density: 13.126 g/cm3. Its spin magnetization is 0.00 μB per cell. For the total DFT energy (no corrections), the calculation gives -9.5870 eV per atom. The volume comes out at 161 Å³/f.u.

The structure belongs to space group C2/m (No. 12); the cell edges are 6.293, 9.190 and 5.774 Å and the angles 90.00°, 104.91° and 90.00°. The inequivalent atoms are Hf at (0.090, 0.241, 0.266), Hf at (0.242, 0.000, 0.975), Tc at (0.000, 0.000, 0.500) and Pd at (0.000, 0.500, 0.500).

=====

[9]
First-principles (GGA-PBE) data for a relaxed structure of CrAgW2, as listed in the Alexandria database.

As for the formation energy: 56.1 kJ per mole of atoms. As for the calculated density: 14.386 g/cm3. The value obtained for the relative energy among the computed polymorphs is 195.9 meV/atom. Its spin magnetization is 0.00 μB per cell. For the total DFT energy (no corrections), the calculation gives -9.0137 eV per atom. The volume comes out at 61 Å³/f.u.

The structure belongs to space group P4/mmm (No. 123); the cell edges are 3.888, 3.888 and 4.029 Å and the angles 90.00°, 90.00° and 90.00°. The inequivalent atoms are Cr at (0.000, 0.000, 0.000), Ag at (0.500, 0.500, 0.000) and W at (0.000, 0.500, 0.500).

=====

[10]
First-principles (GGA-PBE) data for a relaxed structure of NbMo2PPd, as listed in the Alexandria database.

As for the formation energy: 31.8 kJ per mole of atoms. As for the calculated density: 8.039 g/cm3. Its spin magnetization is 0.00 μB per cell. For the total DFT energy (no corrections), the calculation gives -8.1379 eV per atom. The volume comes out at 87 Å³/f.u.

The structure belongs to space group P4/mmm (No. 123); the cell edges are 4.506, 4.506 and 4.295 Å and the angles 90.00°, 90.00° and 90.00°. The inequivalent atoms are Nb at (0.000, 0.000, 0.000), Mo at (0.000, 0.500, 0.500), P at (0.500, 0.500, 0.500) and Pd at (0.500, 0.500, 0.000).

=====

[11]
First-principles (GGA-PBE) data for a relaxed structure of YAl2Ni, as listed in the Alexandria database.

As for the formation energy: -5.5 kJ per mole of atoms. As for the calculated density: 3.747 g/cm3. Its spin magnetization is 0.00 μB per cell. For the total DFT energy (no corrections), the calculation gives -4.9896 eV per atom. The volume comes out at 89 Å³/f.u.

The structure belongs to space group I-42d (No. 122); the cell edges are 4.728, 4.728 and 15.983 Å and the angles 90.00°, 90.00° and 90.00°. The inequivalent atoms are Y at (0.000, 0.000, 0.000), Al at (0.055, 0.250, 0.625) and Ni at (0.000, 0.000, 0.500).

=====

[12]
First-principles (GGA-PBE) data for a relaxed structure of PaCr2Se6, as listed in the Alexandria database.

As for the calculated density: 6.059 g/cm3. The value obtained for the relative energy among the computed polymorphs is 73.4 meV/atom. Its spin magnetization is 9.98 μB per cell. The value obtained for the raw formation energy is -612 kJ/mol of formula units. For the total DFT energy (no corrections), the calculation gives -6.2219 eV per atom. The volume comes out at 222 Å³/f.u.

The structure belongs to space group C2/m (No. 12); the cell edges are 12.780, 4.972 and 8.477 Å and the angles 90.00°, 124.62° and 90.00°. The inequivalent atoms are Pa at (0.000, 0.000, 0.000), Cr at (0.177, 0.000, 0.581), Se at (0.043, 0.000, 0.714), Se at (0.140, 0.500, 0.079) and Se at (0.237, 0.500, 0.621).